## Th2Si3Ni2 (PBE-GGA)

Data for crystalline Th2Si3Ni2 at its relaxed geometry.

```
Th2Si3Ni2
1.0
2.146 -8.961 0.000
2.146 8.961 0.000
0.000 0.000 6.628
Th Si Ni
4 6 4
Direct
0.053 0.947 0.750 Th
0.162 0.838 0.250 Th
0.838 0.162 0.750 Th
0.947 0.053 0.250 Th
0.220 0.780 0.750 Si
0.438 0.562 0.568 Si
0.438 0.562 0.932 Si
0.562 0.438 0.068 Si
0.562 0.438 0.432 Si
0.780 0.220 0.250 Si
0.314 0.686 0.059 Ni
0.314 0.686 0.441 Ni
0.686 0.314 0.559 Ni
0.686 0.314 0.941 Ni
```

- Formation energy from raw total energies: -0.741 eV/atom
- Total magnetic moment: 0.00 μB/f.u.


## ThSi2Ni6 (PBE-GGA)

Data for crystalline ThSi2Ni6 at its relaxed geometry.

```
ThSi2Ni6
1.0
-1.913 2.847 5.999
1.913 -2.847 5.999
1.913 2.847 -5.999
Th Si Ni
1 2 6
Direct
0.000 0.000 0.000 Th
0.348 0.848 0.500 Si
0.652 0.152 0.500 Si
0.077 0.306 0.771 Ni
0.310 0.500 0.810 Ni
0.464 0.694 0.771 Ni
0.536 0.306 0.229 Ni
0.690 0.500 0.190 Ni
0.923 0.694 0.229 Ni
```

- Formation energy from raw total energies: -0.219 eV/atom
- Total magnetic moment: 0.00 μB/f.u.


## Th2SiNi5 (PBE-GGA)

Data for crystalline Th2SiNi5 at its relaxed geometry.

```
Th2SiNi5
1.0
-2.873 2.873 4.193
2.873 -2.873 4.193
2.873 2.873 -4.193
Th Si Ni
2 1 5
Direct
0.000 0.500 0.500 Th
0.500 0.000 0.500 Th
0.280 0.280 0.000 Si
0.536 0.536 0.563 Ni
0.536 0.973 0.000 Ni
0.555 0.555 0.000 Ni
0.973 0.536 0.000 Ni
0.973 0.973 0.437 Ni
```

- Formation energy from raw total energies: -0.411 eV/atom
- Total magnetic moment: 0.00 μB/f.u.


## Th4Si3Ni (PBE-GGA)

Data for crystalline Th4Si3Ni at its relaxed geometry.

```
Th4Si3Ni
1.0
4.060 0.000 0.000
0.000 4.236 0.000
0.000 0.000 10.963
Th Si Ni
4 3 1
Direct
0.000 0.000 0.000 Th
0.000 0.500 0.493 Th
0.500 0.000 0.710 Th
0.500 0.500 0.209 Th
0.000 0.500 0.779 Si
0.500 0.000 0.416 Si
0.500 0.500 0.926 Si
0.000 0.000 0.294 Ni
```

- Formation energy from raw total energies: -0.622 eV/atom
- Total magnetic moment: 0.00 μB/f.u.


Q: Which value of formation energy from raw total energies does entry 3 give?
A: -0.411 eV/atom


Copy entry 4 word for word.
## Th4Si3Ni (PBE-GGA)

Data for crystalline Th4Si3Ni at its relaxed geometry.

```
Th4Si3Ni
1.0
4.060 0.000 0.000
0.000 4.236 0.000
0.000 0.000 10.963
Th Si Ni
4 3 1
Direct
0.000 0.000 0.000 Th
0.000 0.500 0.493 Th
0.500 0.000 0.710 Th
0.500 0.500 0.209 Th
0.000 0.500 0.779 Si
0.500 0.000 0.416 Si
0.500 0.500 0.926 Si
0.000 0.000 0.294 Ni
```

- Formation energy from raw total energies: -0.622 eV/atom
- Total magnetic moment: 0.00 μB/f.u.